Material: FeCoAs
Method: DFT, PBE
State: relaxed

Results
- uncorrected energy (eV/atom) = -6.693
- M_tot (μB per atom) = 0.663

The structure in CIF format:
```
data_FeCoAs
_chemical_formula_sum 'Fe2 Co2 As2'
_space_group_name_H-M_alt 'P 63 m c'
_space_group_IT_number 186
_space_group_name_Hall 'P 6c -2c'
_cell_length_a 3.8773
_cell_length_b 3.8773
_cell_length_c 5.4940
_cell_angle_alpha 90.00
_cell_angle_beta 90.00
_cell_angle_gamma 120.00
loop_
_atom_site_label
_atom_site_fract_x
_atom_site_fract_y
_atom_site_fract_z
Fe1 0.0000 0.0000 0.0000
Co1 0.3333 0.6667 0.2531
As1 0.3333 0.6667 0.6741
```